Compound: MgCrRu
Source: Alexandria
Functional: GGA-PBE
Structure: optimized geometry

Cell: 5.3408 5.3408 5.3408 Å, 147.65 147.65 46.40°
Last column: nearest neighbours and their distance in Å.
Fractional positions:
Cr 0.0184 0.0184 0.0000  4 Ru 2.46
Mg 0.3333 0.3333 0.0000  5 Ru 2.78-3.09, 5 Cr 2.78-3.09, 4 Mg 2.98
Ru 0.6483 0.6483 0.0000  4 Cr 2.46

Calculated values
The total magnetization comes out at 0.00 μB/f.u. The relative energy among the computed polymorphs comes out at 0.0000 eV per atom. The calculated formation energy is 74 meV/atom.